# 1
Entry from the Alexandria database: a relaxed structure of KZn2Rh (PBE-GGA).

Properties
Mass density, g cm⁻³: 4.97
D(E_F), states/eV per cell: 2.34
Calculated formation energy, eV per atom: 0.034
Energy above the most stable polymorph in this dataset, meV/atom: 138

Geometry as CIF:
```
data_KZn2Rh
_chemical_formula_sum 'K2 Zn4 Rh2'
_cell_length_a 8.292
_cell_length_b 3.282
_cell_length_c 6.799
_cell_angle_alpha 90.00
_cell_angle_beta 99.93
_cell_angle_gamma 90.00
_space_group_name_H-M_alt 'C 1 2/m 1'
_space_group_IT_number 12
loop_
_space_group_symop_operation_xyz
'x,y,z'
'-x,-y,-z'
'-x,y,-z'
'x,-y,z'
'x+1/2,y+1/2,z'
'-x+1/2,-y+1/2,-z'
'-x+1/2,y+1/2,-z'
'x+1/2,-y+1/2,z'
loop_
_atom_site_label
_atom_site_fract_x
_atom_site_fract_y
_atom_site_fract_z
K1 0.000 0.000 0.000
Zn1 0.225 0.000 0.641
Rh1 0.000 0.500 0.500
```

***

# 2
Entry from the Alexandria database: a relaxed structure of ZnSi2Ag2 (PBE-GGA).

Properties
Mass density, g cm⁻³: 6.24
Formation energy without anion corrections, eV/atom: 0.381
D(E_F), states/eV per cell: 5.78
Energy above the most stable polymorph in this dataset, meV/atom: 102

Geometry as CIF:
```
data_ZnSi2Ag2
_chemical_formula_sum 'Zn2 Si4 Ag4'
_cell_length_a 8.162
_cell_length_b 8.162
_cell_length_c 2.693
_cell_angle_alpha 90.00
_cell_angle_beta 90.00
_cell_angle_gamma 90.00
_space_group_name_H-M_alt 'P 4/m b m'
_space_group_IT_number 127
_space_group_name_Hall '-P 4 2ab'
loop_
_atom_site_label
_atom_site_fract_x
_atom_site_fract_y
_atom_site_fract_z
Zn1 0.000 0.000 0.000
Si1 0.125 0.375 0.000
Ag1 0.172 0.672 0.500
```

***

# 3
Entry from the Alexandria database: a relaxed structure of Tm4Al3Pd (PBE-GGA).

Properties
Mass density, g cm⁻³: 7.76
D(E_F), states/eV per cell: 6.23
Calculated formation energy, eV per atom: -0.517
Energy above the most stable polymorph in this dataset, meV/atom: 18

Geometry as CIF:
```
data_Tm4Al3Pd
_chemical_formula_sum 'Tm4 Al3 Pd1'
_cell_length_a 3.685
_cell_length_b 4.455
_cell_length_c 11.249
_cell_angle_alpha 90.00
_cell_angle_beta 90.00
_cell_angle_gamma 90.00
_space_group_name_H-M_alt 'P m m 2'
_space_group_IT_number 25
loop_
_space_group_symop_operation_xyz
'x,y,z'
'-x,-y,z'
'-x,y,z'
'x,-y,z'
loop_
_atom_site_label
_atom_site_fract_x
_atom_site_fract_y
_atom_site_fract_z
Tm1 0.000 0.000 0.000
Tm2 0.000 0.500 0.285
Tm3 0.500 0.000 0.477
Tm4 0.500 0.500 0.797
Al1 0.000 0.000 0.707
Al2 0.000 0.500 0.569
Al3 0.500 0.500 0.068
Pd1 0.500 0.000 0.212
```

***

# 4
Entry from the Alexandria database: a relaxed structure of SrSi3Ni (PBE-GGA).

Properties
Mass density, g cm⁻³: 4.43
Formation energy without anion corrections, eV/atom: -0.455
D(E_F), states/eV per cell: 2.81

Geometry as CIF:
```
data_SrSi3Ni
_chemical_formula_sum 'Sr2 Si6 Ni2'
_cell_length_a 4.197
_cell_length_b 4.197
_cell_length_c 9.823
_cell_angle_alpha 90.00
_cell_angle_beta 90.00
_cell_angle_gamma 90.00
_space_group_name_H-M_alt 'I 4 m m'
_space_group_IT_number 107
_space_group_name_Hall 'I 4 -2'
loop_
_atom_site_label
_atom_site_fract_x
_atom_site_fract_y
_atom_site_fract_z
Sr1 0.000 0.000 0.000
Si1 0.000 0.000 0.403
Si2 0.000 0.500 0.251
Ni1 0.000 0.000 0.645
```

***

# 5
Entry from the Alexandria database: a relaxed structure of Li2ZrIn (PBE-GGA).

Properties
Mass density, g cm⁻³: 4.38
D(E_F), states/eV per cell: 8.01
Calculated formation energy, eV per atom: 0.290

Geometry as CIF:
```
data_Li2ZrIn
_chemical_formula_sum 'Li8 Zr4 In4'
_cell_length_a 7.530
_cell_length_b 7.530
_cell_length_c 5.882
_cell_angle_alpha 90.00
_cell_angle_beta 90.00
_cell_angle_gamma 90.00
_space_group_name_H-M_alt 'I -4 2 d'
_space_group_IT_number 122
_space_group_name_Hall 'I -4 2bw'
loop_
_atom_site_label
_atom_site_fract_x
_atom_site_fract_y
_atom_site_fract_z
Li1 0.228 0.250 0.125
Zr1 0.000 0.000 0.500
In1 0.000 0.000 0.000
```

***

# 6
Entry from the Alexandria database: a relaxed structure of AcMgAlAg (PBE-GGA).

Properties
Mass density, g cm⁻³: 6.28
D(E_F), states/eV per cell: 7.46
Calculated formation energy, eV per atom: -0.189

Geometry as CIF:
```
data_AcMgAlAg
_chemical_formula_sum 'Ac4 Mg4 Al4 Ag4'
_cell_length_a 7.418
_cell_length_b 7.418
_cell_length_c 7.418
_cell_angle_alpha 90.00
_cell_angle_beta 90.00
_cell_angle_gamma 90.00
_space_group_name_H-M_alt 'F -4 3 m'
_space_group_IT_number 216
_space_group_name_Hall 'F -4 2 3'
loop_
_atom_site_label
_atom_site_fract_x
_atom_site_fract_y
_atom_site_fract_z
Ac1 0.000 0.000 0.000
Mg1 0.000 0.000 0.500
Al1 0.250 0.250 0.750
Ag1 0.250 0.250 0.250
```

***

Number 1: VASP energy -2.715 eV/atom. Number 2: VASP energy -3.183 eV/atom. Number 3: VASP energy -4.806 eV/atom. Number 4: VASP energy -5.202 eV/atom. Number 5: VASP energy -3.488 eV/atom. Number 6: VASP energy -3.264 eV/atom.